BaSmCr2O8: relaxed, PBE with a Hubbard U.

For the spin magnetization, the calculation gives 1.0 μB/f.u. As for the total energy: -7.177 eV per atom.

Unit cell a=5.744 b=5.744 c=7.745 alpha=90.00 beta=90.00 gamma=120.00
Atoms (fractional coordinates):
Ba1 0.000 0.000 0.000
Sm1 0.000 0.000 0.500
Cr1 0.333 0.667 0.774
Cr2 0.667 0.333 0.226
O1 0.171 0.342 0.703
O2 0.171 0.829 0.703
O3 0.333 0.667 0.987
O4 0.342 0.171 0.297
O5 0.658 0.829 0.703
O6 0.667 0.333 0.013
O7 0.829 0.171 0.297
O8 0.829 0.658 0.297